Sr4LiMn2Ga2O11: relaxed, GGA+U.

Cell lengths 7.847, 8.352, 15.239 Å; angles 90.00, 90.00, 90.00 degrees
Space group Fmm2 (No. 42)
Inequivalent atoms, fractional coordinates:
Sr: 0.000 0.213 0.000 [8 per cell]
Sr: 0.000 0.249 0.249 [8 per cell]
Li: 0.000 0.000 0.458 [4 per cell]
Mn: 0.244 0.000 0.864 [8 per cell]
Ga: 0.237 0.000 0.123 [8 per cell]
O: 0.000 0.000 0.119 [4 per cell]
O: 0.000 0.000 0.343 [4 per cell]
O: 0.000 0.000 0.890 [4 per cell]
O: 0.192 0.000 0.740 [8 per cell]
O: 0.207 0.000 0.499 [8 per cell]
O: 0.250 0.250 0.120 [8 per cell]
O: 0.250 0.250 0.369 [8 per cell]

Computed properties:
Total magnetization in Bohr magnetons per cell: 27.91
Crystal system: orthorhombic
Calculated volume in Å³/atom: 12.48
Uncorrected energy in eV per atom: -6.287